Compound: AsH3Ir
Source: Alexandria via LeMat-Bulk
Functional: meta-GGA SCAN
Structure: single point on PBEsol structure

Space-group type: Pm-3m (221)
Total magnetization: 0.00 μB/f.u.
Total energy: -18.937 eV/atom
V: 8.82 Å³ per atom

Cell: 3.5328 3.5328 3.5328 Å, 90.00 90.00 90.00°
With the nearest neighbours (Å) after each atom.
Element x y z (fractional)
1 As 0.0000 0.0000 0.0000  6 H 1.77
2 H 0.0000 0.0000 0.5000  2 As 1.77
3 H 0.0000 0.5000 0.0000  2 As 1.77
4 H 0.5000 0.0000 0.0000  2 As 1.77
5 Ir 0.5000 0.5000 0.5000  12 H 2.50